[1]
A relaxed structure of Ti2CuMoH, computed with GGA-PBE.

a = 4.270 Å, b = 4.270 Å, c = 3.413 Å
α = 90.00°, β = 90.00°, γ = 90.00°
Fractional positions:
Ti: 0.000 0.500 0.000
H: 0.000 0.000 0.000
Cu: 0.000 0.000 0.500
Mo: 0.500 0.500 0.500
Ti: 0.500 0.000 0.000

Space group: P4/mmm (123)
Spin magnetization, μB/cell: 0.00
Uncorrected energy, eV/atom: -6.969
Energy above the most stable polymorph in this dataset, meV/atom: 0

***

[2]
A relaxed structure of Ti2CuMoH, computed with GGA-PBE.

a = 4.227 Å, b = 4.227 Å, c = 3.568 Å
α = 90.00°, β = 90.00°, γ = 90.00°
Fractional positions:
Ti: 0.000 0.500 0.000
H: 0.000 0.000 0.000
Mo: 0.000 0.000 0.500
Ti: 0.500 0.000 0.000
Cu: 0.500 0.500 0.500

Space group: P4/mmm (123)
Spin magnetization, μB/cell: 0.00
Uncorrected energy, eV/atom: -6.926
Energy above the most stable polymorph in this dataset, meV/atom: 43

***

[3]
A relaxed structure of ZnCuMoH2, computed with GGA-PBE.

a = 3.555 Å, b = 4.679 Å, c = 3.555 Å
α = 90.00°, β = 90.00°, γ = 90.00°
Last column: magnetic moment on the atom in μB.
Fractional positions:
Cu: 0.000 0.500 0.000  0.08
H: 0.500 0.000 0.000  -0.02
Mo: 0.500 0.500 0.500  1.62
H: 0.000 0.000 0.500  -0.02
Zn: 0.000 0.000 0.000  -0.05

Space group: P4/mmm (123)
Spin magnetization, μB/cell: 1.82
Uncorrected energy, eV/atom: -3.577

***

[4]
A relaxed structure of Zr2CuMoH, computed with GGA-PBE.

a = 4.611 Å, b = 4.611 Å, c = 3.576 Å
α = 90.00°, β = 90.00°, γ = 90.00°
Fractional positions:
Zr: 0.500 0.000 0.000
H: 0.000 0.000 0.000
Mo: 0.000 0.000 0.500
Zr: 0.000 0.500 0.000
Cu: 0.500 0.500 0.500

Space group: P4/mmm (123)
Spin magnetization, μB/cell: 0.00
Uncorrected energy, eV/atom: -7.203
Energy above the most stable polymorph in this dataset, meV/atom: 14

***

[5]
A relaxed structure of Zr2CuMoH, computed with GGA-PBE.

a = 4.595 Å, b = 4.595 Å, c = 3.514 Å
α = 90.00°, β = 90.00°, γ = 90.00°
Fractional positions:
Cu: 0.000 0.000 0.500
Zr: 0.000 0.500 0.000
H: 0.000 0.000 0.000
Mo: 0.500 0.500 0.500
Zr: 0.500 0.000 0.000

Space group: P4/mmm (123)
Spin magnetization, μB/cell: 0.00
Uncorrected energy, eV/atom: -7.217
Energy above the most stable polymorph in this dataset, meV/atom: 0

***

[6]
A relaxed structure of CuH2N, computed with GGA-PBE.

a = 2.394 Å, b = 2.394 Å, c = 6.632 Å
α = 79.60°, β = 79.60°, γ = 60.00°
Fractional positions:
Cu: 0.000 0.000 0.000
H: 0.858 0.858 0.425
N: 0.500 0.500 0.500
H: 0.142 0.142 0.575

Space group: R-3m (166)
Spin magnetization, μB/cell: 0.00
Uncorrected energy, eV/atom: -3.699
Energy above the most stable polymorph in this dataset, meV/atom: 397

***

[7]
A relaxed structure of CuH2N, computed with GGA-PBE.

a = 3.253 Å, b = 3.253 Å, c = 3.253 Å
α = 60.00°, β = 60.00°, γ = 60.00°
Fractional positions:
H: 0.250 0.250 0.250
Cu: 0.500 0.500 0.500
H: 0.750 0.750 0.750
N: 0.000 0.000 0.000

Space group: Fm-3m (225)
Spin magnetization, μB/cell: 0.00
Uncorrected energy, eV/atom: -3.458
Energy above the most stable polymorph in this dataset, meV/atom: 638

***

[8]
A relaxed structure of CuHN2, computed with GGA-PBE.

a = 3.459 Å, b = 3.459 Å, c = 3.459 Å
α = 60.00°, β = 60.00°, γ = 60.00°
Fractional positions:
Cu: 0.500 0.500 0.500
N: 0.250 0.250 0.250
N: 0.750 0.750 0.750
H: 0.000 0.000 0.000

Space group: Fm-3m (225)
Spin magnetization, μB/cell: 0.00
Uncorrected energy, eV/atom: -4.089
Energy above the most stable polymorph in this dataset, meV/atom: 944

***

[9]
A relaxed structure of CuHN2, computed with GGA-PBE.

a = 4.728 Å, b = 4.728 Å, c = 4.728 Å
α = 37.29°, β = 37.29°, γ = 37.29°
Fractional positions:
H: 0.500 0.500 0.500
N: 0.857 0.857 0.857
N: 0.143 0.143 0.143
Cu: 0.000 0.000 0.000

Space group: R-3m (166)
Spin magnetization, μB/cell: 0.00
Uncorrected energy, eV/atom: -4.240
Energy above the most stable polymorph in this dataset, meV/atom: 793

***

[10]
A relaxed structure of Cu2HN, computed with GGA-PBE.

a = 3.604 Å, b = 3.604 Å, c = 3.604 Å
α = 60.00°, β = 60.00°, γ = 60.00°
Fractional positions:
N: 0.500 0.500 0.500
Cu: 0.250 0.250 0.250
H: 0.000 0.000 0.000
Cu: 0.750 0.750 0.750

Space group: Fm-3m (225)
Spin magnetization, μB/cell: 0.00
Uncorrected energy, eV/atom: -4.010
Energy above the most stable polymorph in this dataset, meV/atom: 363

***

[11]
A relaxed structure of CuH12N3, computed with GGA-PBE.

a = 8.360 Å, b = 8.360 Å, c = 7.414 Å
α = 55.68°, β = 55.68°, γ = 60.00°
Fractional positions:
N: 0.202 0.534 0.517
Cu: 0.148 0.148 0.556
H: 0.075 0.833 0.864
N: 0.534 0.747 0.517
H: 0.683 0.377 0.030
H: 0.073 0.655 0.507
H: 0.877 0.183 0.530
H: 0.655 0.766 0.507
H: 0.493 0.619 0.668
H: 0.993 0.721 0.168
H: 0.729 0.333 0.364
N: 0.747 0.202 0.517
H: 0.183 0.410 0.530
H: 0.229 0.075 0.864
H: 0.573 0.266 0.007
H: 0.333 0.575 0.364
H: 0.910 0.683 0.030
H: 0.155 0.573 0.007
H: 0.833 0.229 0.864
H: 0.221 0.493 0.668
H: 0.619 0.221 0.668
H: 0.410 0.877 0.530
H: 0.377 0.910 0.030
Cu: 0.648 0.648 0.056
N: 0.702 0.247 0.017
N: 0.247 0.034 0.017
N: 0.034 0.702 0.017
H: 0.721 0.119 0.168
H: 0.766 0.073 0.507
H: 0.575 0.729 0.364
H: 0.266 0.155 0.007
H: 0.119 0.993 0.168

Space group: R3c (161)
Spin magnetization, μB/cell: 0.00
Uncorrected energy, eV/atom: -4.296

***

[12]
A relaxed structure of CuHN2, computed with GGA-PBE.

a = 4.337 Å, b = 4.337 Å, c = 4.509 Å
α = 61.25°, β = 61.25°, γ = 90.00°
Fractional positions:
N: 0.567 0.125 0.250
N: 0.875 0.817 0.750
N: 0.183 0.625 0.250
N: 0.375 0.433 0.750
Cu: 0.000 0.000 0.000
H: 0.250 0.750 0.500
H: 0.500 0.500 0.000
Cu: 0.750 0.250 0.500

Space group: I-42d (122)
Spin magnetization, μB/cell: 0.00
Uncorrected energy, eV/atom: -4.422
Energy above the most stable polymorph in this dataset, meV/atom: 611